[1]
GGA-PBE Tc2TeN, relaxed; uncorrected formation energy = 3.97 eV/f.u.; symmetry = Fm-3m
1.0
0.000 3.062 3.062
3.062 0.000 3.062
3.062 3.062 0.000
Tc Te N
2 1 1
Direct
0.250 0.250 0.250
0.750 0.750 0.750
0.000 0.000 0.000
0.500 0.500 0.500


[2]
GGA-PBE TcTeN3, relaxed; uncorrected formation energy = 9.97 eV/f.u.; symmetry = Pm-3m
1.0
3.965 0.000 0.000
0.000 3.965 0.000
0.000 0.000 3.965
Tc Te N
1 1 3
Direct
0.000 0.000 0.000
0.500 0.500 0.500
0.000 0.500 0.500
0.500 0.000 0.500
0.500 0.500 0.000


[3]
GGA-PBE Tc2TeN, relaxed; uncorrected formation energy = 0.97 eV/f.u.; symmetry = I-42d
1.0
-2.648 2.648 4.988
2.648 -2.648 4.988
2.648 2.648 -4.988
Tc Te N
4 2 2
Direct
0.012 0.625 0.887
0.375 0.262 0.387
0.738 0.125 0.113
0.875 0.988 0.613
0.250 0.750 0.500
0.500 0.500 0.000
0.000 0.000 0.000
0.750 0.250 0.500


[4]
GGA-PBE TcTe3N, relaxed; uncorrected formation energy = 5.52 eV/f.u.; symmetry = Pm-3m
1.0
4.619 0.000 0.000
0.000 4.619 0.000
0.000 0.000 4.619
Tc Te N
1 3 1
Direct
0.000 0.000 0.000
0.000 0.500 0.500
0.500 0.000 0.500
0.500 0.500 0.000
0.500 0.500 0.500


[5]
GGA-PBE TcTeN3, relaxed; uncorrected formation energy = 5.68 eV/f.u.; symmetry = Pm-3m
1.0
3.949 0.000 0.000
0.000 3.949 0.000
0.000 0.000 3.949
Tc Te N
1 1 3
Direct
0.000 0.000 0.000
0.500 0.500 0.500
0.000 0.000 0.500
0.000 0.500 0.000
0.500 0.000 0.000


[6]
GGA-PBE TcTe3N, relaxed; uncorrected formation energy = 8.14 eV/f.u.; symmetry = Pm-3m
1.0
5.137 0.000 0.000
0.000 5.137 0.000
0.000 0.000 5.137
Tc Te N
1 3 1
Direct
0.000 0.000 0.000
0.000 0.000 0.500
0.000 0.500 0.000
0.500 0.000 0.000
0.500 0.500 0.500


[7]
GGA-PBE TiTcTeN2, relaxed; uncorrected formation energy = 3.95 eV/f.u.; symmetry = P4/mmm
1.0
3.928 0.000 0.000
0.000 3.928 0.000
0.000 0.000 5.766
Ti Tc Te N
1 1 1 2
Direct
0.000 0.000 0.000
0.500 0.500 0.500
0.000 0.000 0.500
0.000 0.500 0.000
0.500 0.000 0.000


[8]
GGA-PBE TiTcTeN2, relaxed; uncorrected formation energy = 2.95 eV/f.u.; symmetry = P4/mmm
1.0
3.887 0.000 0.000
0.000 3.887 0.000
0.000 0.000 5.578
Ti Tc Te N
1 1 1 2
Direct
0.000 0.000 0.000
0.500 0.500 0.500
0.500 0.500 0.000
0.000 0.500 0.500
0.500 0.000 0.500


Q: Which of these has the highest uncorrected formation energy?
A: number 2


Repeat the sixth record exactly.
GGA-PBE TcTe3N, relaxed; uncorrected formation energy = 8.14 eV/f.u.; symmetry = Pm-3m
1.0
5.137 0.000 0.000
0.000 5.137 0.000
0.000 0.000 5.137
Tc Te N
1 3 1
Direct
0.000 0.000 0.000
0.000 0.000 0.500
0.000 0.500 0.000
0.500 0.000 0.000
0.500 0.500 0.500


Q: The highest uncorrected formation energy belongs to which entry?
A: number 2